AlC2: optimized geometry, PBE.

Calculated values
energy above the lowest structure with this stoichiometry: 468.1 meV/atom
space group: P6_3/mmc
E: -6.6414 eV per atom
E_form: 0.7554 eV/atom

Unit cell a=3.029 b=3.029 c=7.952 alpha=90.00 beta=90.00 gamma=120.00
Sites, in units of the cell vectors:
Al: 0.333 0.667 0.250
Al: 0.667 0.333 0.750
C: 0.000 0.000 0.081
C: 0.000 0.000 0.419
C: 0.000 0.000 0.581
C: 0.000 0.000 0.919

ErTl3Sb2Te6: optimized geometry, PBE.

Calculated values
space group: C2/m
E: -3.7258 eV per atom
ΔE_f (raw): -47.9 kJ per mole of atoms

Unit cell a=7.758 b=7.758 c=8.431 alpha=98.82 beta=98.82 gamma=120.00
Sites, in units of the cell vectors:
Er: 0.000 0.000 0.000
Tl: 0.166 0.834 0.500
Tl: 0.500 0.500 0.500
Tl: 0.834 0.166 0.500
Sb: 0.334 0.666 0.000
Sb: 0.666 0.334 0.000
Te: 0.071 0.403 0.214
Te: 0.261 0.261 0.789
Te: 0.403 0.071 0.214
Te: 0.597 0.929 0.786
Te: 0.739 0.739 0.211
Te: 0.929 0.597 0.786

SrFe4Cu2: optimized geometry, PBE.

Calculated values
space group: I4/mmm
E: -4.5004 eV per atom
E_form: 1.7461 eV/atom

Unit cell a=7.276 b=7.276 c=7.276 alpha=142.52 beta=142.52 gamma=54.05
Sites, in units of the cell vectors:
Sr: 0.000 0.000 0.000
Fe: 0.000 0.500 0.500
Fe: 0.230 0.230 0.000
Fe: 0.500 0.000 0.500
Fe: 0.770 0.770 0.000
Cu: 0.409 0.409 0.000
Cu: 0.591 0.591 0.000

RbNa4Eu: optimized geometry, PBE.

Calculated values
space group: F-43m
E: -2.6652 eV per atom
E_form: 0.0878 eV/atom

Unit cell a=7.291 b=7.291 c=7.291 alpha=60.00 beta=60.00 gamma=60.00
Sites, in units of the cell vectors:
Rb: 0.000 0.000 0.000
Na: 0.376 0.376 0.376
Na: 0.376 0.376 0.872
Na: 0.376 0.872 0.376
Na: 0.872 0.376 0.376
Eu: 0.750 0.750 0.750

K3YCl: optimized geometry, PBE.

Calculated values
energy above the lowest structure with this stoichiometry: 653.0 meV/atom
space group: Pm-3m
E: -1.8904 eV per atom
ΔE_f (raw): 41.5 kJ per mole of atoms

Unit cell a=7.511 b=7.511 c=7.511 alpha=90.00 beta=90.00 gamma=90.00
Sites, in units of the cell vectors:
K: 0.000 0.000 0.500
K: 0.000 0.500 0.000
K: 0.500 0.000 0.000
Y: 0.000 0.000 0.000
Cl: 0.500 0.500 0.500

CaNi4Au: optimized geometry, PBE.

Calculated values
space group: F-43m
E: -4.8666 eV per atom
E_form: -0.1325 eV/atom

Unit cell a=4.943 b=4.943 c=4.943 alpha=60.00 beta=60.00 gamma=60.00
Sites, in units of the cell vectors:
Ca: 0.000 0.000 0.000
Ni: 0.126 0.625 0.625
Ni: 0.625 0.126 0.625
Ni: 0.625 0.625 0.126
Ni: 0.625 0.625 0.625
Au: 0.250 0.250 0.250

CaLa2Mg: optimized geometry, PBE.

Calculated values
space group: P4mm
E: -3.3847 eV per atom
E_form: -0.0220 eV/atom

Unit cell a=3.763 b=3.763 c=9.855 alpha=90.00 beta=90.00 gamma=90.00
Sites, in units of the cell vectors:
Ca: 0.000 0.000 0.000
La: 0.000 0.000 0.551
La: 0.500 0.500 0.294
Mg: 0.500 0.500 0.777

CdGa2SbS6: optimized geometry, PBE.

Calculated values
space group: C2/c
E: -3.9978 eV per atom
ΔE_f (raw): -39.8 kJ per mole of atoms

Unit cell a=8.419 b=8.419 c=6.715 alpha=99.88 beta=99.88 gamma=84.64
Sites, in units of the cell vectors:
Cd: 0.104 0.896 0.750
Cd: 0.896 0.104 0.250
Ga: 0.216 0.394 0.727
Ga: 0.394 0.216 0.227
Ga: 0.606 0.784 0.773
Ga: 0.784 0.606 0.273
Sb: 0.262 0.738 0.250
Sb: 0.738 0.262 0.750
S: 0.021 0.202 0.641
S: 0.099 0.623 0.890
S: 0.202 0.021 0.141
S: 0.283 0.437 0.420
S: 0.377 0.901 0.610
S: 0.437 0.283 0.920
S: 0.563 0.717 0.080
S: 0.623 0.099 0.390
S: 0.717 0.563 0.580
S: 0.798 0.979 0.859
S: 0.901 0.377 0.110
S: 0.979 0.798 0.359

K2SeO4: optimized geometry, PBE.

Calculated values
energy above the lowest structure with this stoichiometry: 0.6 meV/atom
space group: Pnma
E: -5.0562 eV per atom
ΔE_f (raw): -136.2 kJ per mole of atoms

Unit cell a=7.908 b=6.195 c=10.554 alpha=90.00 beta=90.00 gamma=90.00
Sites, in units of the cell vectors:
K: 0.013 0.250 0.212
K: 0.181 0.250 0.570
K: 0.319 0.750 0.070
K: 0.487 0.750 0.712
K: 0.513 0.250 0.288
K: 0.681 0.250 0.930
K: 0.819 0.750 0.430
K: 0.987 0.750 0.788
Se: 0.220 0.250 0.908
Se: 0.280 0.750 0.408
Se: 0.720 0.250 0.592
Se: 0.780 0.750 0.092
O: 0.016 0.250 0.949
O: 0.158 0.750 0.538
O: 0.238 0.529 0.321
O: 0.238 0.971 0.321
O: 0.262 0.029 0.821
O: 0.262 0.471 0.821
O: 0.342 0.250 0.038
O: 0.484 0.750 0.449
O: 0.516 0.250 0.551
O: 0.658 0.750 0.962
O: 0.738 0.529 0.179
O: 0.738 0.971 0.179
O: 0.762 0.029 0.679
O: 0.762 0.471 0.679
O: 0.842 0.250 0.462
O: 0.984 0.750 0.051

GeTe2Os2: optimized geometry, PBE.

Calculated values
energy above the lowest structure with this stoichiometry: 232.4 meV/atom
space group: P4/mbm
E: -5.7319 eV per atom
ΔE_f (raw): 90.7 kJ per mole of atoms

Unit cell a=7.975 b=7.975 c=3.101 alpha=90.00 beta=90.00 gamma=90.00
Sites, in units of the cell vectors:
Ge: 0.000 0.000 0.000
Ge: 0.500 0.500 0.000
Te: 0.154 0.346 0.000
Te: 0.346 0.846 0.000
Te: 0.654 0.154 0.000
Te: 0.846 0.654 0.000
Os: 0.134 0.634 0.500
Os: 0.366 0.134 0.500
Os: 0.634 0.866 0.500
Os: 0.866 0.366 0.500

BeGeB: optimized geometry, PBE.

Calculated values
energy above the lowest structure with this stoichiometry: 0.0 meV/atom
space group: P6/mmm
E: -4.8579 eV per atom
E_form: 0.1491 eV/atom

Unit cell a=2.918 b=2.918 c=9.630 alpha=90.00 beta=90.00 gamma=120.00
Sites, in units of the cell vectors:
Be: 0.000 0.000 0.125
Be: 0.000 0.000 0.875
Ge: 0.000 0.000 0.364
Ge: 0.000 0.000 0.636
B: 0.333 0.667 0.000
B: 0.667 0.333 0.000

Dy3Tl2H: optimized geometry, PBE.

Calculated values
space group: C2/c
E: -3.9150 eV per atom

Unit cell a=7.700 b=7.700 c=6.829 alpha=97.28 beta=97.28 gamma=48.09
Sites, in units of the cell vectors:
Dy: 0.083 0.917 0.750
Dy: 0.298 0.462 0.355
Dy: 0.462 0.298 0.855
Dy: 0.538 0.702 0.145
Dy: 0.702 0.538 0.645
Dy: 0.917 0.083 0.250
Tl: 0.132 0.242 0.040
Tl: 0.242 0.132 0.540
Tl: 0.758 0.868 0.460
Tl: 0.868 0.758 0.960
H: 0.423 0.577 0.750
H: 0.577 0.423 0.250

Among the records above, which one has the highest E? K3YCl